No. 1
First-principles (PBE-GGA) data for a relaxed structure of CaGe2Os, as listed in Alexandria via LeMat-Bulk.

N(E_F): 0.1801 states/eV per atom
DFT formation energy: 23.7 meV per atom
Space group: I-42d

a = 8.6432 Å, b = 8.6432 Å, c = 8.6432 Å
α = 145.66°, β = 145.66°, γ = 49.35°
Positions (direct):
Ca 0.0000 0.0000 0.0000
Ca 0.7500 0.2500 0.5000
Ge 0.3112 0.6250 0.1862
Ge 0.3750 0.5612 0.6862
Ge 0.4388 0.1250 0.8138
Ge 0.8750 0.6888 0.3138
Os 0.2500 0.7500 0.5000
Os 0.5000 0.5000 0.0000

No. 2
First-principles (PBE-GGA) data for a relaxed structure of UICl4, as listed in Alexandria via LeMat-Bulk.

Formation energy (no corrections): -1217 meV per atom
N(E_F): 1.6394 states/eV per atom
Space group: P2_1/c

a = 10.3735 Å, b = 6.7528 Å, c = 7.1957 Å
α = 90.00°, β = 91.09°, γ = 90.00°
Positions (direct):
U 0.0000 0.0000 0.0000
U 0.0000 0.5000 0.5000
I 0.5000 0.0000 0.5000
I 0.5000 0.5000 0.0000
Cl 0.0865 0.1736 0.6863
Cl 0.0865 0.3264 0.1863
Cl 0.2150 0.6482 0.5533
Cl 0.2150 0.8518 0.0533
Cl 0.7850 0.1482 0.9467
Cl 0.7850 0.3518 0.4467
Cl 0.9135 0.6736 0.8137
Cl 0.9135 0.8264 0.3137

Number 1: spin magnetization 0.00 μB/cell, V 102.24 Å³/f.u.. Number 2: spin magnetization 5.15 μB/cell, V 251.99 Å³/f.u..